(1)
First-principles (PBE) data for Sr2Li4Sb3Pb after structural relaxation, as listed in the Alexandria database.

Results
E (eV/cell): -34.15
Raw formation energy (kJ/mol of formula units): -681
Space group: P-4m2, No. 115

Unit cell a=4.616 b=4.616 c=12.095 alpha=90.00 beta=90.00 gamma=90.00
Atoms (fractional coordinates):
Li  0.500  0.500  0.000
Li  0.000  0.000  0.000
Li  0.500  0.000  0.643
Li  0.000  0.500  0.357
Pb  0.500  0.500  0.500
Sr  0.500  0.000  0.235
Sr  0.000  0.500  0.765
Sb  0.000  0.500  0.136
Sb  0.500  0.000  0.864
Sb  0.000  0.000  0.500

***

(2)
First-principles (PBE) data for LiSbTe3Pb after structural relaxation, as listed in the Alexandria database.

Results
E (eV/cell): -42.93
Raw formation energy (kJ/mol of formula units): -221
Space group: P2_1/m, No. 11

Unit cell a=4.395 b=9.123 c=9.665 alpha=101.75 beta=90.00 gamma=90.00
Atoms (fractional coordinates):
Pb  0.250  0.195  0.260
Pb  0.750  0.805  0.740
Te  0.750  0.232  0.512
Te  0.250  0.768  0.488
Te  0.750  0.897  0.114
Te  0.250  0.567  0.829
Te  0.750  0.433  0.171
Te  0.250  0.103  0.886
Li  0.250  0.079  0.591
Li  0.750  0.921  0.409
Sb  0.250  0.675  0.141
Sb  0.750  0.325  0.859